Entry 1:
DFT (PBE) results for a geometry-optimized Th2SnOsPb structure. Values from VASP.

Computed properties:
The total energy comes out at -7.102 eV per atom. The calculation puts the formation energy at -346 meV/atom. As for the space group: P2_1/m.

The structure in Quantum ESPRESSO input format:
```
&SYSTEM
  ibrav = 0, nat = 10, ntyp = 4
/
ATOMIC_SPECIES
Th 232.04 Th.upf
Os 190.23 Os.upf
Sn 118.71 Sn.upf
Pb 207.20 Pb.upf
ATOMIC_POSITIONS angstrom
Th -1.5960 2.6913 7.3633
Th -5.7676 -1.2349 1.8790
Th -6.3933 -3.9604 -2.9662
Th -2.2217 -0.0342 2.5180
Os -4.2796 -1.9723 4.1762
Os -3.7097 0.7032 0.2209
Sn -3.1498 0.0619 5.6952
Sn -4.8395 -1.3309 -1.2982
Pb -4.7640 -4.1718 0.2011
Pb -3.2253 2.9027 4.1959
CELL_PARAMETERS angstrom
-3.2413 2.5652 -1.0244
-4.5900 -7.0369 -3.0980
-0.1579 3.2026 8.5194
```

=====

Entry 2:
DFT (PBE) results for a geometry-optimized LaGdAg structure. Values from VASP.

Computed properties:
The total energy comes out at -7.459 eV per atom. The calculation puts the formation energy at -172 meV/atom. As for the space group: I4mm.

The structure in Quantum ESPRESSO input format:
```
&SYSTEM
  ibrav = 0, nat = 3, ntyp = 3
/
ATOMIC_SPECIES
Gd 157.25 Gd.upf
Ag 107.87 Ag.upf
La 138.91 La.upf
ATOMIC_POSITIONS angstrom
Gd 0.0000 0.0000 0.2784
Ag 1.8669 1.8669 2.0050
La 0.0000 0.0000 4.0445
CELL_PARAMETERS angstrom
3.7338 0.0000 0.0000
0.0000 3.7338 0.0000
-1.8669 -1.8669 6.3279
```

=====

Entry 3:
DFT (PBE) results for a geometry-optimized LiZn5 structure. Values from VASP.

Computed properties:
The total energy comes out at -1.489 eV per atom. The calculation puts the formation energy at -108 meV/atom. As for the space group: P-62m.

The structure in Quantum ESPRESSO input format:
```
&SYSTEM
  ibrav = 0, nat = 6, ntyp = 2
/
ATOMIC_SPECIES
Zn 65.41 Zn.upf
Li 6.94 Li.upf
ATOMIC_POSITIONS angstrom
Zn -0.0047 2.7729 0.0000
Zn -0.7981 1.3824 2.1951
Zn 2.3898 1.3744 0.0000
Zn 0.0093 0.0000 0.0000
Zn 1.5963 2.7649 2.1951
Li 1.5963 0.0000 2.1951
CELL_PARAMETERS angstrom
4.7889 0.0000 0.0000
-2.3944 4.1473 0.0000
0.0000 0.0000 4.3903
```